# 1
First-principles (PBE) data for LaNdN2 after structural relaxation, as listed in Alexandria. Values from VASP.

Properties
As for the symmetry: R3m (160). The total magnetization comes out at 0.00 μB/cell. The electronic total energy comes out at -0.285 hartree per atom.

Cell and atoms, written as Quantum ESPRESSO input:
```
&SYSTEM
  ibrav = 0, nat = 4, ntyp = 3
/
ATOMIC_SPECIES
La 138.91 La.upf
Nd 144.24 Nd.upf
N 14.01 N.upf
CELL_PARAMETERS angstrom
-2.0104 -2.7173 -1.3038
1.4486 -2.3715 -2.3244
1.5996 -5.3329 3.6145
ATOMIC_POSITIONS crystal
La 0.6741 0.6741 0.9777
Nd 0.5044 0.5044 0.4868
N 0.0779 0.0779 0.7663
N 0.2436 0.2436 0.2693
```

=====

# 2
First-principles (PBE) data for PmNdSnSb after structural relaxation, as listed in Alexandria. Values from VASP.

Properties
As for the symmetry: F-43m (216). The value obtained for the density of states at the Fermi level is 6.7 states/eV/cell. The total magnetization comes out at 0.00 μB/cell. The electronic total energy comes out at -0.187 hartree per atom.

Cell and atoms, written as Quantum ESPRESSO input:
```
&SYSTEM
  ibrav = 0, nat = 4, ntyp = 4
/
ATOMIC_SPECIES
Sb 121.76 Sb.upf
Nd 144.24 Nd.upf
Sn 118.71 Sn.upf
Pm 145.00 Pm.upf
CELL_PARAMETERS angstrom
-4.9170 -2.0375 1.3886
-2.3902 -3.8127 -3.1633
-0.4235 -5.1850 1.7869
ATOMIC_POSITIONS crystal
Sb 0.7500 0.7500 0.7500
Nd 0.0000 0.0000 0.0000
Sn 0.2500 0.2500 0.2500
Pm 0.5000 0.5000 0.5000
```

=====

# 3
First-principles (PBE) data for PuSb2Ir after structural relaxation, as listed in Alexandria. Values from VASP.

Properties
As for the symmetry: R-3m (166). The value obtained for the density of states at the Fermi level is 9.6 states/eV/cell. The total magnetization comes out at 6.64 μB/cell. The electronic total energy comes out at -0.285 hartree per atom.

Cell and atoms, written as Quantum ESPRESSO input:
```
&SYSTEM
  ibrav = 0, nat = 4, ntyp = 3
/
ATOMIC_SPECIES
Sb 121.76 Sb.upf
Ir 192.22 Ir.upf
Pu 244.00 Pu.upf
CELL_PARAMETERS angstrom
3.5448 0.0000 0.0000
1.7724 3.0698 0.0000
1.7724 1.0233 9.8571
ATOMIC_POSITIONS crystal
Sb 0.1080 0.1080 0.6760
Sb 0.8920 0.8920 0.3240
Ir 0.5000 0.5000 0.5000
Pu 0.0000 0.0000 0.0000
```

=====

# 4
First-principles (PBE) data for ErTh2H after structural relaxation, as listed in Alexandria. Values from VASP.

Properties
As for the symmetry: R-3m (166). The value obtained for the density of states at the Fermi level is 4.5 states/eV/cell. The total magnetization comes out at 0.00 μB/cell. The electronic total energy comes out at -0.206 hartree per atom.

Cell and atoms, written as Quantum ESPRESSO input:
```
&SYSTEM
  ibrav = 0, nat = 4, ntyp = 3
/
ATOMIC_SPECIES
H 1.01 H.upf
Th 232.04 Th.upf
Er 167.26 Er.upf
CELL_PARAMETERS angstrom
3.4310 0.0000 0.0000
1.7155 2.9713 0.0000
1.7155 0.9904 9.7530
ATOMIC_POSITIONS crystal
H 0.5000 0.5000 0.5000
Th 0.1123 0.1123 0.6632
Th 0.8877 0.8877 0.3368
Er 0.0000 0.0000 0.0000
```

=====

Question: Number 3 is which compound?
Answer: PuSb2Ir